GGA+U Ca3AlFeSi3O12, optimized geometry; electronic total energy = -7.40 eV per atom
1.0
-6.0392 6.0392 6.0392
6.0392 -6.0392 6.0392
6.0392 6.0392 -6.0392
Ca Al Fe Si O
12 4 4 12 48
direct
0.1228 0.2500 0.3728 Ca
0.1272 0.3772 0.7500 Ca
0.2500 0.3728 0.1228 Ca
0.2500 0.8728 0.6228 Ca
0.3728 0.1228 0.2500 Ca
0.3772 0.7500 0.1272 Ca
0.6228 0.2500 0.8728 Ca
0.6272 0.8772 0.7500 Ca
0.7500 0.1272 0.3772 Ca
0.7500 0.6272 0.8772 Ca
0.8728 0.6228 0.2500 Ca
0.8772 0.7500 0.6272 Ca
0.0000 0.0000 0.5000 Al
0.0000 0.5000 0.0000 Al
0.5000 0.0000 0.0000 Al
0.5000 0.5000 0.5000 Al
0.0000 0.0000 0.0000 Fe
0.0000 0.5000 0.5000 Fe
0.5000 0.0000 0.5000 Fe
0.5000 0.5000 0.0000 Fe
0.1209 0.8709 0.2500 Si
0.1291 0.7500 0.8791 Si
0.2500 0.1209 0.8709 Si
0.2500 0.6209 0.3709 Si
0.3709 0.2500 0.6209 Si
0.3791 0.6291 0.7500 Si
0.6209 0.3709 0.2500 Si
0.6291 0.7500 0.3791 Si
0.7500 0.3791 0.6291 Si
0.7500 0.8791 0.1291 Si
0.8709 0.2500 0.1209 Si
0.8791 0.1291 0.7500 Si
0.0070 0.2041 0.1137 O
0.0089 0.3131 0.8927 O
0.0796 0.8839 0.3927 O
0.0904 0.7041 0.6971 O
0.1067 0.6137 0.4096 O
0.1073 0.9911 0.6869 O
0.1137 0.0070 0.2041 O
0.1161 0.6073 0.9204 O
0.1869 0.1958 0.5796 O
0.1958 0.5796 0.1869 O
0.1971 0.4930 0.6067 O
0.2041 0.1137 0.0070 O
0.2959 0.3029 0.9096 O
0.3029 0.9096 0.2959 O
0.3042 0.4911 0.3839 O
0.3131 0.8927 0.0089 O
0.3839 0.3042 0.4911 O
0.3863 0.5904 0.8933 O
0.3927 0.0796 0.8839 O
0.3933 0.8029 0.5070 O
0.4096 0.1067 0.6137 O
0.4204 0.8131 0.8042 O
0.4911 0.3839 0.3042 O
0.4930 0.6067 0.1971 O
0.5070 0.3933 0.8029 O
0.5089 0.6161 0.6958 O
0.5796 0.1869 0.1958 O
0.5904 0.8933 0.3863 O
0.6067 0.1971 0.4930 O
0.6073 0.9204 0.1161 O
0.6137 0.4096 0.1067 O
0.6161 0.6958 0.5089 O
0.6869 0.1073 0.9911 O
0.6958 0.5089 0.6161 O
0.6971 0.0904 0.7041 O
0.7041 0.6971 0.0904 O
0.7959 0.8863 0.9930 O
0.8029 0.5070 0.3933 O
0.8042 0.4204 0.8131 O
0.8131 0.8042 0.4204 O
0.8839 0.3927 0.0796 O
0.8863 0.9930 0.7959 O
0.8927 0.0089 0.3131 O
0.8933 0.3863 0.5904 O
0.9096 0.2959 0.3029 O
0.9204 0.1161 0.6073 O
0.9911 0.6869 0.1073 O
0.9930 0.7959 0.8863 O